1.
The following is a DFT calculation (PBE) of a geometry-optimized SrCeTe2 structure.

Computed properties:
E_form (uncorrected) (eV per atom): -1.502
Total energy (eV/cell): -59.7
Total moment (μB/f.u.): 1.4

Cell and atoms, written as CIF:
```
data_SrCeTe2
_cell_length_a 4.5749
_cell_length_b 4.5749
_cell_length_c 23.0765
_cell_angle_alpha 90.00
_cell_angle_beta 90.00
_cell_angle_gamma 120.00
_symmetry_space_group_name_H-M 'R -3 m'
_symmetry_Int_Tables_number 166
_symmetry_space_group_name_Hall '-R 3 2"'
loop_
_atom_site_label
_atom_site_type_symbol
_atom_site_fract_x
_atom_site_fract_y
_atom_site_fract_z
_atom_site_occupancy
Sr1 Sr 0.0000 0.0000 0.0000 1
Ce1 Ce 0.0000 0.0000 0.5000 1
Te1 Te 0.0000 0.0000 0.2472 1
```

***

2.
The following is a DFT calculation (PBE) of a geometry-optimized La5Zn5Cu2 structure.

Computed properties:
Total energy (eV/cell): -84.1
Total moment (μB/f.u.): 0.0

Cell and atoms, written as CIF:
```
data_La5Zn5Cu2
_cell_length_a 16.153
_cell_length_b 4.406
_cell_length_c 11.535
_cell_angle_alpha 90.00
_cell_angle_beta 133.29
_cell_angle_gamma 90.00
_symmetry_space_group_name_H-M 'C 1 2/m 1'
_symmetry_Int_Tables_number 12
loop_
_symmetry_equiv_pos_as_xyz
'x,y,z'
'-x,-y,-z'
'-x,y,-z'
'x,-y,z'
'x+1/2,y+1/2,z'
'-x+1/2,-y+1/2,-z'
'-x+1/2,y+1/2,-z'
'x+1/2,-y+1/2,z'
loop_
_atom_site_label
_atom_site_type_symbol
_atom_site_fract_x
_atom_site_fract_y
_atom_site_fract_z
_atom_site_occupancy
La1 La 0.000 0.000 0.000 1
La2 La 0.106 0.000 0.410 1
La3 La 0.190 0.000 0.809 1
Zn1 Zn 0.000 0.500 0.500 1
Zn2 Zn 0.058 0.500 0.849 1
Zn3 Zn 0.240 0.500 0.672 1
Cu1 Cu 0.150 0.500 0.261 1
```

***

3.
The following is a DFT calculation (PBE) of a geometry-optimized CsScHgI6 structure.

Computed properties:
E_form (uncorrected) (eV per atom): -0.971
Total energy (eV/cell): -51.0
Total moment (μB/f.u.): 0.0

Cell and atoms, written as CIF:
```
data_CsScHgI6
_cell_length_a 7.584
_cell_length_b 14.491
_cell_length_c 8.327
_cell_angle_alpha 90.00
_cell_angle_beta 96.74
_cell_angle_gamma 90.00
_symmetry_space_group_name_H-M 'C 1 2 1'
_symmetry_Int_Tables_number 5
loop_
_symmetry_equiv_pos_as_xyz
'x,y,z'
'-x,y,-z'
'x+1/2,y+1/2,z'
'-x+1/2,y+1/2,-z'
loop_
_atom_site_label
_atom_site_type_symbol
_atom_site_fract_x
_atom_site_fract_y
_atom_site_fract_z
_atom_site_occupancy
Cs1 Cs 0.000 0.000 0.000 1
Sc1 Sc 0.000 0.333 0.500 1
Hg1 Hg 0.000 0.635 0.500 1
I1 I 0.166 0.477 0.328 1
I2 I 0.196 0.196 0.309 1
I3 I 0.234 0.798 0.241 1
```